1.
Here is an optimized crystal structure of Rb8Au4Br3Cl from Alexandria. Energies are from GGA-PBE.

Computed properties:
**Total magnetic moment**: 0.00 μB per atom
**Density of states at the Fermi level**: 0.000 states/eV/atom
**Energy relative to the elements, uncorrected**: -1.028 eV/atom
**Space-group type**: R-3m (166)

Lattice parameters (Å, degrees): 9.8924 9.9865 9.8957 119.69 119.99 90.00
Sites, in units of the cell vectors:
Au 0.0000 0.0000 0.0000
Rb 0.7532 0.7403 0.9967
Cl 0.0000 0.5000 0.0000
Rb 0.2436 0.7403 0.9967
Au 0.5000 0.0000 0.5000
Rb 0.2468 0.2597 0.0033
Rb 0.7558 0.2591 0.5117
Rb 0.7484 0.7450 0.4967
Au 0.0000 0.0000 0.5000
Rb 0.2442 0.7409 0.4883
Br 0.5000 0.5000 0.5000
Rb 0.2516 0.2550 0.5033
Au 0.5000 0.0000 0.0000
Rb 0.7564 0.2597 0.0033
Br 0.5000 0.5000 0.0000
Br 0.0000 0.5000 0.5000

2.
Here is an optimized crystal structure of RuAuBrCl6 from Alexandria. Energies are from GGA-PBE.

Computed properties:
**Total magnetic moment**: 0.23 μB per atom
**Density of states at the Fermi level**: 0.196 states/eV/atom
**Energy relative to the elements, uncorrected**: -0.266 eV/atom
**Space-group type**: P1 (1)

Lattice parameters (Å, degrees): 6.7169 7.4987 8.4226 88.76 114.19 56.86
Last column: magnetic moment on the atom in μB.
Sites, in units of the cell vectors:
Cl 0.2628 0.6774 0.3705  0.01
Cl 0.7437 0.2387 0.7438  0.03
Cl 0.3956 0.0225 0.6182  0.12
Cl 0.5726 0.1476 0.3434  0.17
Cl 0.1143 0.5369 0.6604  0.02
Au 0.6783 0.6261 0.5133  0.12
Br 0.9688 0.9539 0.0145  -0.02
Cl 0.9202 0.4720 0.2461  0.11
Ru 0.3435 0.3249 0.4896  1.23